Material: AlRhAu2
Method: DFT, PBE
State: optimized geometry

Calculated values
Symmetry ... No. 47
DOS(E_F) ... 0.6946 states/eV/atom
V ... 64.45 Å³/f.u.

The structure in CIF format:
```
data_AlRhAu2
_cell_length_a 2.9631
_cell_length_b 3.8004
_cell_length_c 5.7230
_cell_angle_alpha 90.00
_cell_angle_beta 90.00
_cell_angle_gamma 90.00
_symmetry_space_group_name_H-M 'P 1'
_symmetry_Int_Tables_number 1
_symmetry_space_group_name_Hall 'P 1'
loop_
_atom_site_label
_atom_site_fract_x
_atom_site_fract_y
_atom_site_fract_z
Al1 0.0000 0.0000 0.0000
Rh1 0.0000 0.0000 0.5000
Au1 0.5000 0.5000 0.2442
Au2 0.5000 0.5000 0.7558
```

Material: AlRh3Au
Method: DFT, PBE
State: optimized geometry

Calculated values
E above lowest polymorph ... 0 meV/atom
Symmetry ... No. 221
DOS(E_F) ... 1.4980 states/eV/atom
V ... 88.49 Å³/f.u.

The structure in CIF format:
```
data_AlRh3Au
_cell_length_a 4.4563
_cell_length_b 4.4563
_cell_length_c 4.4563
_cell_angle_alpha 90.00
_cell_angle_beta 90.00
_cell_angle_gamma 90.00
_symmetry_space_group_name_H-M 'P 1'
_symmetry_Int_Tables_number 1
_symmetry_space_group_name_Hall 'P 1'
loop_
_atom_site_label
_atom_site_fract_x
_atom_site_fract_y
_atom_site_fract_z
Al1 0.0000 0.0000 0.0000
Rh1 0.0000 0.0000 0.5000
Rh2 0.0000 0.5000 0.0000
Rh3 0.5000 0.0000 0.0000
Au1 0.5000 0.5000 0.5000
```

Material: AlRhAu2
Method: DFT, PBE
State: optimized geometry

Calculated values
Symmetry ... No. 10
DOS(E_F) ... 0.5722 states/eV/atom
V ... 66.37 Å³/f.u.

The structure in CIF format:
```
data_AlRhAu2
_cell_length_a 3.0168
_cell_length_b 4.7972
_cell_length_c 4.5886
_cell_angle_alpha 90.00
_cell_angle_beta 91.95
_cell_angle_gamma 90.00
_symmetry_space_group_name_H-M 'P 1'
_symmetry_Int_Tables_number 1
_symmetry_space_group_name_Hall 'P 1'
loop_
_atom_site_label
_atom_site_fract_x
_atom_site_fract_y
_atom_site_fract_z
Al1 0.0000 0.0000 0.0000
Rh1 0.5000 0.0000 0.5000
Au1 0.2411 0.5000 0.7511
Au2 0.7589 0.5000 0.2489
```

Material: Al2Rh2Au
Method: DFT, PBE
State: optimized geometry

Calculated values
E above lowest polymorph ... 0 meV/atom
Symmetry ... No. 127
DOS(E_F) ... 0.4007 states/eV/atom
V ... 74.50 Å³/f.u.

The structure in CIF format:
```
data_Al2Rh2Au
_cell_length_a 7.1604
_cell_length_b 7.1604
_cell_length_c 2.9062
_cell_angle_alpha 90.00
_cell_angle_beta 90.00
_cell_angle_gamma 90.00
_symmetry_space_group_name_H-M 'P 1'
_symmetry_Int_Tables_number 1
_symmetry_space_group_name_Hall 'P 1'
loop_
_atom_site_label
_atom_site_fract_x
_atom_site_fract_y
_atom_site_fract_z
Al1 0.1422 0.3578 0.0000
Al2 0.3578 0.8578 0.0000
Al3 0.6422 0.1422 0.0000
Al4 0.8578 0.6422 0.0000
Rh1 0.1524 0.6524 0.5000
Rh2 0.3476 0.1524 0.5000
Rh3 0.6524 0.8476 0.5000
Rh4 0.8476 0.3476 0.5000
Au1 0.0000 0.0000 0.0000
Au2 0.5000 0.5000 0.0000
```

Material: AlRhAu2
Method: DFT, PBE
State: optimized geometry

Calculated values
Symmetry ... No. 166
DOS(E_F) ... 0.9810 states/eV/atom
V ... 65.35 Å³/f.u.

The structure in CIF format:
```
data_AlRhAu2
_cell_length_a 8.8205
_cell_length_b 8.8205
_cell_length_c 8.8205
_cell_angle_alpha 19.27
_cell_angle_beta 19.27
_cell_angle_gamma 19.27
_symmetry_space_group_name_H-M 'P 1'
_symmetry_Int_Tables_number 1
_symmetry_space_group_name_Hall 'P 1'
loop_
_atom_site_label
_atom_site_fract_x
_atom_site_fract_y
_atom_site_fract_z
Al1 0.0000 0.0000 0.0000
Rh1 0.5000 0.5000 0.5000
Au1 0.2547 0.2547 0.2547
Au2 0.7453 0.7453 0.7453
```

Material: AlRhAu2
Method: DFT, PBE
State: optimized geometry

Calculated values
Symmetry ... No. 160
DOS(E_F) ... 0.4571 states/eV/atom
V ... 65.44 Å³/f.u.

The structure in CIF format:
```
data_AlRhAu2
_cell_length_a 8.9766
_cell_length_b 8.9766
_cell_length_c 8.9766
_cell_angle_alpha 18.77
_cell_angle_beta 18.77
_cell_angle_gamma 18.77
_symmetry_space_group_name_H-M 'P 1'
_symmetry_Int_Tables_number 1
_symmetry_space_group_name_Hall 'P 1'
loop_
_atom_site_label
_atom_site_fract_x
_atom_site_fract_y
_atom_site_fract_z
Al1 0.0000 0.0000 0.0000
Rh1 0.7347 0.7347 0.7347
Au1 0.2530 0.2530 0.2530
Au2 0.4909 0.4909 0.4909
```

Material: AlRhAu2
Method: DFT, PBE
State: optimized geometry

Calculated values
Symmetry ... No. 139
DOS(E_F) ... 0.8147 states/eV/atom
V ... 64.40 Å³/f.u.

The structure in CIF format:
```
data_AlRhAu2
_cell_length_a 4.9253
_cell_length_b 4.9253
_cell_length_c 4.9253
_cell_angle_alpha 132.14
_cell_angle_beta 132.14
_cell_angle_gamma 70.00
_symmetry_space_group_name_H-M 'P 1'
_symmetry_Int_Tables_number 1
_symmetry_space_group_name_Hall 'P 1'
loop_
_atom_site_label
_atom_site_fract_x
_atom_site_fract_y
_atom_site_fract_z
Al1 0.0000 0.0000 0.0000
Rh1 0.5000 0.5000 0.0000
Au1 0.2500 0.7500 0.5000
Au2 0.7500 0.2500 0.5000
```

Material: AlRhAu2
Method: DFT, PBE
State: optimized geometry

Calculated values
Symmetry ... No. 119
DOS(E_F) ... 0.3566 states/eV/atom
V ... 64.08 Å³/f.u.

The structure in CIF format:
```
data_AlRhAu2
_cell_length_a 4.8035
_cell_length_b 4.8035
_cell_length_c 4.8035
_cell_angle_alpha 129.65
_cell_angle_beta 129.65
_cell_angle_gamma 73.97
_symmetry_space_group_name_H-M 'P 1'
_symmetry_Int_Tables_number 1
_symmetry_space_group_name_Hall 'P 1'
loop_
_atom_site_label
_atom_site_fract_x
_atom_site_fract_y
_atom_site_fract_z
Al1 0.0000 0.0000 0.0000
Rh1 0.7500 0.2500 0.5000
Au1 0.2500 0.7500 0.5000
Au2 0.5000 0.5000 0.0000
```

Material: Al2RhAu2
Method: DFT, PBE
State: optimized geometry

Calculated values
E above lowest polymorph ... 0 meV/atom
Symmetry ... No. 127
DOS(E_F) ... 0.5631 states/eV/atom
V ... 81.09 Å³/f.u.

The structure in CIF format:
```
data_Al2RhAu2
_cell_length_a 6.8400
_cell_length_b 6.8400
_cell_length_c 3.4665
_cell_angle_alpha 90.00
_cell_angle_beta 90.00
_cell_angle_gamma 90.00
_symmetry_space_group_name_H-M 'P 1'
_symmetry_Int_Tables_number 1
_symmetry_space_group_name_Hall 'P 1'
loop_
_atom_site_label
_atom_site_fract_x
_atom_site_fract_y
_atom_site_fract_z
Al1 0.1509 0.3491 0.0000
Al2 0.3491 0.8491 0.0000
Al3 0.6509 0.1509 0.0000
Al4 0.8491 0.6509 0.0000
Rh1 0.0000 0.0000 0.0000
Rh2 0.5000 0.5000 0.0000
Au1 0.1497 0.6497 0.5000
Au2 0.3503 0.1497 0.5000
Au3 0.6497 0.8503 0.5000
Au4 0.8503 0.3503 0.5000
```

Material: AlRhAu2
Method: DFT, PBE
State: optimized geometry

Calculated values
Symmetry ... No. 122
DOS(E_F) ... 0.4205 states/eV/atom
V ... 69.84 Å³/f.u.

The structure in CIF format:
```
data_AlRhAu2
_cell_length_a 10.0831
_cell_length_b 10.0831
_cell_length_c 10.0831
_cell_angle_alpha 158.33
_cell_angle_beta 158.33
_cell_angle_gamma 30.83
_symmetry_space_group_name_H-M 'P 1'
_symmetry_Int_Tables_number 1
_symmetry_space_group_name_Hall 'P 1'
loop_
_atom_site_label
_atom_site_fract_x
_atom_site_fract_y
_atom_site_fract_z
Al1 0.0000 0.0000 0.0000
Al2 0.7500 0.2500 0.5000
Rh1 0.2500 0.7500 0.5000
Rh2 0.5000 0.5000 0.0000
Au1 0.1238 0.6250 0.9988
Au2 0.3750 0.3738 0.4988
Au3 0.6262 0.1250 0.0012
Au4 0.8750 0.8762 0.5012
```

Material: AlRhAu2
Method: DFT, PBE
State: optimized geometry

Calculated values
Symmetry ... No. 44
DOS(E_F) ... 0.5032 states/eV/atom
V ... 64.55 Å³/f.u.

The structure in CIF format:
```
data_AlRhAu2
_cell_length_a 5.3127
_cell_length_b 5.3127
_cell_length_c 5.3127
_cell_angle_alpha 145.99
_cell_angle_beta 128.92
_cell_angle_gamma 62.79
_symmetry_space_group_name_H-M 'P 1'
_symmetry_Int_Tables_number 1
_symmetry_space_group_name_Hall 'P 1'
loop_
_atom_site_label
_atom_site_fract_x
_atom_site_fract_y
_atom_site_fract_z
Al1 0.0000 0.0000 0.0000
Rh1 0.7887 0.2887 0.5000
Au1 0.2313 0.7313 0.5000
Au2 0.5086 0.5086 0.0000
```

Material: AlRhAu2
Method: DFT, PBE
State: optimized geometry

Calculated values
Symmetry ... No. 99
DOS(E_F) ... 0.3621 states/eV/atom
V ... 64.22 Å³/f.u.

The structure in CIF format:
```
data_AlRhAu2
_cell_length_a 3.0123
_cell_length_b 3.0123
_cell_length_c 7.0770
_cell_angle_alpha 90.00
_cell_angle_beta 90.00
_cell_angle_gamma 90.00
_symmetry_space_group_name_H-M 'P 1'
_symmetry_Int_Tables_number 1
_symmetry_space_group_name_Hall 'P 1'
loop_
_atom_site_label
_atom_site_fract_x
_atom_site_fract_y
_atom_site_fract_z
Al1 0.0000 0.0000 0.0000
Rh1 0.5000 0.5000 0.8158
Au1 0.0000 0.0000 0.5380
Au2 0.5000 0.5000 0.2482
```

Material: AlRhAu3
Method: DFT, PBE
State: optimized geometry

Calculated values
E above lowest polymorph ... 0 meV/atom
Symmetry ... No. 221
DOS(E_F) ... 0.8192 states/eV/atom
V ... 103.46 Å³/f.u.

The structure in CIF format:
```
data_AlRhAu3
_cell_length_a 4.6946
_cell_length_b 4.6946
_cell_length_c 4.6946
_cell_angle_alpha 90.00
_cell_angle_beta 90.00
_cell_angle_gamma 90.00
_symmetry_space_group_name_H-M 'P 1'
_symmetry_Int_Tables_number 1
_symmetry_space_group_name_Hall 'P 1'
loop_
_atom_site_label
_atom_site_fract_x
_atom_site_fract_y
_atom_site_fract_z
Al1 0.0000 0.0000 0.0000
Rh1 0.5000 0.5000 0.5000
Au1 0.0000 0.0000 0.5000
Au2 0.0000 0.5000 0.0000
Au3 0.5000 0.0000 0.0000
```

Material: AlRh3Au
Method: DFT, PBE
State: optimized geometry

Calculated values
E above lowest polymorph ... 899 meV/atom
Symmetry ... No. 221
DOS(E_F) ... 2.4894 states/eV/atom
V ... 113.81 Å³/f.u.

The structure in CIF format:
```
data_AlRh3Au
_cell_length_a 4.8461
_cell_length_b 4.8461
_cell_length_c 4.8461
_cell_angle_alpha 90.00
_cell_angle_beta 90.00
_cell_angle_gamma 90.00
_symmetry_space_group_name_H-M 'P 1'
_symmetry_Int_Tables_number 1
_symmetry_space_group_name_Hall 'P 1'
loop_
_atom_site_label
_atom_site_fract_x
_atom_site_fract_y
_atom_site_fract_z
Al1 0.0000 0.0000 0.0000
Rh1 0.0000 0.5000 0.5000
Rh2 0.5000 0.0000 0.5000
Rh3 0.5000 0.5000 0.0000
Au1 0.5000 0.5000 0.5000
```

Material: AlRhAu2
Method: DFT, PBE
State: optimized geometry

Calculated values
Symmetry ... No. 6
DOS(E_F) ... 0.3667 states/eV/atom
V ... 65.65 Å³/f.u.

The structure in CIF format:
```
data_AlRhAu2
_cell_length_a 2.9618
_cell_length_b 3.8202
_cell_length_c 5.9774
_cell_angle_alpha 90.00
_cell_angle_beta 103.92
_cell_angle_gamma 90.00
_symmetry_space_group_name_H-M 'P 1'
_symmetry_Int_Tables_number 1
_symmetry_space_group_name_Hall 'P 1'
loop_
_atom_site_label
_atom_site_fract_x
_atom_site_fract_y
_atom_site_fract_z
Al1 0.0000 0.0000 0.0000
Rh1 0.4294 0.5000 0.8515
Au1 0.1630 0.5000 0.2981
Au2 0.7891 0.0000 0.5580
```

Material: AlRh4Au
Method: DFT, PBE
State: optimized geometry

Calculated values
Symmetry ... No. 216
DOS(E_F) ... 1.9048 states/eV/atom
V ... 95.13 Å³/f.u.

The structure in CIF format:
```
data_AlRh4Au
_cell_length_a 5.1240
_cell_length_b 5.1240
_cell_length_c 5.1240
_cell_angle_alpha 60.00
_cell_angle_beta 60.00
_cell_angle_gamma 60.00
_symmetry_space_group_name_H-M 'P 1'
_symmetry_Int_Tables_number 1
_symmetry_space_group_name_Hall 'P 1'
loop_
_atom_site_label
_atom_site_fract_x
_atom_site_fract_y
_atom_site_fract_z
Al1 0.0000 0.0000 0.0000
Rh1 0.1249 0.6250 0.6250
Rh2 0.6250 0.1249 0.6250
Rh3 0.6250 0.6250 0.1249
Rh4 0.6250 0.6250 0.6250
Au1 0.2500 0.2500 0.2500
```

Material: Al4RhAu
Method: DFT, PBE
State: optimized geometry

Calculated values
Symmetry ... No. 216
DOS(E_F) ... 0.2912 states/eV/atom
V ... 93.78 Å³/f.u.

The structure in CIF format:
```
data_Al4RhAu
_cell_length_a 5.0996
_cell_length_b 5.0996
_cell_length_c 5.0996
_cell_angle_alpha 60.00
_cell_angle_beta 60.00
_cell_angle_gamma 60.00
_symmetry_space_group_name_H-M 'P 1'
_symmetry_Int_Tables_number 1
_symmetry_space_group_name_Hall 'P 1'
loop_
_atom_site_label
_atom_site_fract_x
_atom_site_fract_y
_atom_site_fract_z
Al1 0.3757 0.3757 0.3757
Al2 0.3757 0.3757 0.8729
Al3 0.3757 0.8729 0.3757
Al4 0.8729 0.3757 0.3757
Rh1 0.7500 0.7500 0.7500
Au1 0.0000 0.0000 0.0000
```

Material: Sm2Al4RhAu3
Method: DFT, PBE
State: optimized geometry

Calculated values
Symmetry ... No. 115
DOS(E_F) ... 0.6525 states/eV/atom
V ... 197.26 Å³/f.u.

The structure in CIF format:
```
data_Sm2Al4RhAu3
_cell_length_a 4.3108
_cell_length_b 4.3108
_cell_length_c 10.6152
_cell_angle_alpha 90.00
_cell_angle_beta 90.00
_cell_angle_gamma 90.00
_symmetry_space_group_name_H-M 'P 1'
_symmetry_Int_Tables_number 1
_symmetry_space_group_name_Hall 'P 1'
loop_
_atom_site_label
_atom_site_fract_x
_atom_site_fract_y
_atom_site_fract_z
Sm1 0.0000 0.5000 0.2453
Sm2 0.5000 0.0000 0.7547
Al1 0.0000 0.0000 0.5000
Al2 0.0000 0.5000 0.8755
Al3 0.5000 0.0000 0.1245
Al4 0.5000 0.5000 0.5000
Rh1 0.5000 0.5000 0.0000
Au1 0.0000 0.0000 0.0000
Au2 0.0000 0.5000 0.6376
Au3 0.5000 0.0000 0.3624
```

Material: ThAl2RhAu2
Method: DFT, PBE
State: optimized geometry

Calculated values
Symmetry ... No. 123
DOS(E_F) ... 0.6443 states/eV/atom
V ... 125.14 Å³/f.u.

The structure in CIF format:
```
data_ThAl2RhAu2
_cell_length_a 4.7564
_cell_length_b 4.7564
_cell_length_c 5.5313
_cell_angle_alpha 90.00
_cell_angle_beta 90.00
_cell_angle_gamma 90.00
_symmetry_space_group_name_H-M 'P 1'
_symmetry_Int_Tables_number 1
_symmetry_space_group_name_Hall 'P 1'
loop_
_atom_site_label
_atom_site_fract_x
_atom_site_fract_y
_atom_site_fract_z
Th1 0.0000 0.0000 0.0000
Al1 0.0000 0.5000 0.5000
Al2 0.5000 0.0000 0.5000
Rh1 0.0000 0.0000 0.5000
Au1 0.5000 0.5000 0.2393
Au2 0.5000 0.5000 0.7607
```

Material: Al2VRhAu
Method: DFT, PBE
State: optimized geometry

Calculated values
Symmetry ... No. 123
DOS(E_F) ... 0.5930 states/eV/atom
V ... 100.43 Å³/f.u.

The structure in CIF format:
```
data_Al2VRhAu
_cell_length_a 4.6357
_cell_length_b 4.6357
_cell_length_c 4.6735
_cell_angle_alpha 90.00
_cell_angle_beta 90.00
_cell_angle_gamma 90.00
_symmetry_space_group_name_H-M 'P 1'
_symmetry_Int_Tables_number 1
_symmetry_space_group_name_Hall 'P 1'
loop_
_atom_site_label
_atom_site_fract_x
_atom_site_fract_y
_atom_site_fract_z
Al1 0.0000 0.5000 0.0000
Al2 0.5000 0.0000 0.0000
V1 0.0000 0.0000 0.5000
Rh1 0.0000 0.0000 0.0000
Au1 0.5000 0.5000 0.5000
```

Values of DFT formation energy, in order: -0.161; 0.610; -0.174; -0.700; -0.030; -0.279; -0.236; -0.309; -0.350; -0.092; -0.299; -0.393; 0.670; 1.509; -0.362; 0.132; -0.065; -0.766; -0.496; 0.190, all in eV per atom.